An optimized crystal structure of AsAu15, computed with PBE.

E above lowest polymorph (meV/atom): 20.2

Cell lengths 8.1121, 2.8965, 35.4225 Å; angles 90.00, 90.01, 90.00 degrees
Space group P2_1/m (No. 11)
Symmetry-distinct sites (fractional):
As: 0.1266 0.2500 0.1846 (multiplicity 2)
Au: 0.1211 0.2500 0.7824 (multiplicity 2)
Au: 0.1237 0.2500 0.2646 (multiplicity 2)
Au: 0.1240 0.2500 0.6070 (multiplicity 2)
Au: 0.1249 0.2500 0.3488 (multiplicity 2)
Au: 0.1249 0.2500 0.4353 (multiplicity 2)
Au: 0.1246 0.2500 0.5213 (multiplicity 2)
Au: 0.1289 0.2500 0.6929 (multiplicity 2)
Au: 0.3719 0.7500 0.2186 (multiplicity 2)
Au: 0.3736 0.7500 0.3928 (multiplicity 2)
Au: 0.3737 0.7500 0.7365 (multiplicity 2)
Au: 0.3745 0.7500 0.4785 (multiplicity 2)
Au: 0.3751 0.7500 0.5639 (multiplicity 2)
Au: 0.3751 0.7500 0.6491 (multiplicity 2)
Au: 0.3759 0.7500 0.8204 (multiplicity 2)
Au: 0.3790 0.7500 0.3068 (multiplicity 2)

An optimized crystal structure of PrSiH2O4, computed with PBE.

E above lowest polymorph (meV/atom): 59.0

Cell lengths 4.8539, 6.3829, 6.3237 Å; angles 90.00, 105.68, 90.00 degrees
Space group P2_1/m (No. 11)
Symmetry-distinct sites (fractional):
Pr: 0.0901 0.2500 0.2192 (multiplicity 2)
Si: 0.2320 0.2500 0.7442 (multiplicity 2)
H: 0.2970 0.7500 0.4180 (multiplicity 2)
H: 0.5000 0.0000 0.0000 (multiplicity 2)
O: 0.0792 0.7500 0.4419 (multiplicity 2)
O: 0.2542 0.0473 0.9143 (multiplicity 4)
O: 0.4406 0.2500 0.5843 (multiplicity 2)

An optimized crystal structure of NdTlCu3Se4, computed with PBE.

Cell lengths 6.2974, 6.2974, 6.2974 Å; angles 90.00, 90.00, 90.00 degrees
Space group P-43m (No. 215)
Symmetry-distinct sites (fractional):
Nd: 0.0000 0.0000 0.0000 (multiplicity 1)
Tl: 0.5000 0.5000 0.5000 (multiplicity 1)
Cu: 0.0000 0.0000 0.5000 (multiplicity 3)
Se: 0.2461 0.2461 0.7539 (multiplicity 4)

| no. | VASP energy (eV/atom) |
| --- | --- |
| 1 | -3.278 |
| 2 | -6.566 |
| 3 | -3.917 |